A relaxed CaTcOs2 crystal, computed with PBE.

Values from the calculation:
- calculated total energy (eV per atom) = -8.0421
- V (Å³/cell) = 65
- ΔE_f (eV/atom) = 0.66
- total moment (Bohr magnetons per cell) = 0.0
- density of states at the Fermi level (states/eV per cell) = 4.48
- ρ (g/cm3) = 13.21

abc: 2.7588 2.7588 9.3446
angles: 90.00 90.00 113.60
With the nearest neighbours (Å) after each atom.
Fractional coordinates of all 4 atoms:
Ca 0.5000 0.5000 0.7500  6 Ca 2.76-3.02, 4 Os 2.93
Os 0.0000 0.0000 0.0181  2 Tc 2.64, 4 Os 2.76, 2 Ca 2.93
Os 0.0000 0.0000 0.4819  2 Tc 2.64, 4 Os 2.76, 2 Ca 2.93
Tc 0.5000 0.5000 0.2500  4 Os 2.64, 4 Tc 2.76